Record 1
{"formula": "ZnCu2W", "functional": "GGA-PBE", "state": "optimized geometry", "cell": [[0.000, 2.996, 2.996], [2.996, 0.000, 2.996], [2.996, 2.996, 0.000]], "species": ["Zn", "Cu", "Cu", "W"], "frac_coords": [[0.000, 0.000, 0.000], [0.250, 0.250, 0.250], [0.500, 0.500, 0.500], [0.750, 0.750, 0.750]], "sg": "F-43m", "formation_enthalpy_0k_ev_per_atom": 0.48, "magmom_total_mub_per_cell": 0.0}



Record 2
{"formula": "ZnCu2W", "functional": "GGA-PBE", "state": "optimized geometry", "cell": [[0.000, 2.988, 2.988], [2.988, 0.000, 2.988], [2.988, 2.988, 0.000]], "species": ["Zn", "Cu", "Cu", "W"], "frac_coords": [[0.000, 0.000, 0.000], [0.500, 0.500, 0.500], [0.750, 0.750, 0.750], [0.250, 0.250, 0.250]], "sg": "F-43m", "formation_enthalpy_0k_ev_per_atom": 0.48, "magmom_total_mub_per_cell": 0.0}



Please write out number 2 again, unchanged.
{"formula": "ZnCu2W", "functional": "GGA-PBE", "state": "optimized geometry", "cell": [[0.000, 2.988, 2.988], [2.988, 0.000, 2.988], [2.988, 2.988, 0.000]], "species": ["Zn", "Cu", "Cu", "W"], "frac_coords": [[0.000, 0.000, 0.000], [0.500, 0.500, 0.500], [0.750, 0.750, 0.750], [0.250, 0.250, 0.250]], "sg": "F-43m", "formation_enthalpy_0k_ev_per_atom": 0.48, "magmom_total_mub_per_cell": 0.0}